Rb2TaTlTe4 | PBE-GGA | optimized geometry

Computed properties:
Space group: I-4 (82)

abc: 7.8852 7.8852 7.8852
angles: 108.45 109.98 109.98
With the nearest neighbours (Å) after each atom.
Atoms (fractional coordinates):
Te: 0.6587 0.4756 0.5001  1 Ta 2.63
Te: 0.0244 0.1831 0.5244  1 Ta 2.63
Te: 0.3413 0.8414 0.8169  1 Ta 2.63
Te: 0.9756 0.4999 0.1586  1 Ta 2.63
Rb: 0.5000 0.7500 0.2500  4 Te 3.61
Rb: 0.0000 0.0000 0.0000  4 Te 3.83
Ta: 0.0000 0.5000 0.5000  4 Te 2.63
Tl: 0.5000 0.2500 0.7500  4 Te 3.32

---

YSc2Au | PBE-GGA | optimized geometry

Computed properties:
Energy above the most stable polymorph in this dataset: 16.7 kJ/mol of atoms
ΔE_f: -0.249 eV per atom
Space group: I-4m2 (119)

abc: 5.6439 5.6439 5.6439
angles: 133.87 133.87 67.29
With the nearest neighbours (Å) after each atom.
Atoms (fractional coordinates):
Y: 0.5000 0.5000 0.0000  8 Sc 3.13-3.23, 4 Au 3.23
Sc: 0.0000 0.0000 0.0000  4 Y 3.13, 4 Au 3.23, 4 Sc 3.23
Sc: 0.2500 0.7500 0.5000  4 Au 3.13, 4 Sc 3.23, 4 Y 3.23
Au: 0.7500 0.2500 0.5000  8 Sc 3.13-3.23, 4 Y 3.23

---

ZrFeN | PBE-GGA | optimized geometry

Computed properties:
Energy above the most stable polymorph in this dataset: 21.1 kJ/mol of atoms
Space group: Amm2 (38)

abc: 3.6061 6.4960 6.6273
angles: 90.00 90.00 90.00
With the nearest neighbours (Å) after each atom.
Atoms (fractional coordinates):
Fe: 0.0000 0.5000 0.2941  2 N 1.81
Fe: 0.0000 0.5000 0.8846  1 N 1.81
Fe: 0.0000 0.0000 0.3846  1 N 1.81
Fe: 0.0000 0.0000 0.7941  2 N 1.81
N: 0.0000 0.5000 0.6108  1 Fe 1.81
N: 0.0000 0.0000 0.1108  1 Fe 1.81
N: 0.5000 0.5000 0.3124  2 Fe 1.81
N: 0.5000 0.0000 0.8124  2 Fe 1.81
Zr: 0.5000 0.2667 0.5861  4 N 2.29-2.36
Zr: 0.5000 0.7333 0.5861  4 N 2.29-2.36
Zr: 0.5000 0.7667 0.0861  4 N 2.29-2.36
Zr: 0.5000 0.2333 0.0861  4 N 2.29-2.36

---

| no. | VASP energy (eV per atom) | spin magnetization (μB/atom) |
| --- | --- | --- |
| 1 | -4.170 | 0.000 |
| 2 | -5.850 | 0.001 |
| 3 | -9.126 | 0.615 |